Record 1
The following is a PBE calculation of a relaxed structure of MnAlOs2, from Alexandria.

Unit cell a=2.9090 b=4.2290 c=4.5095 alpha=90.00 beta=90.00 gamma=90.00
With the nearest neighbours (Å) after each atom.
Atoms (fractional coordinates):
Mn (0.0000, 0.0000, 0.0000)  4 Os 2.57, 4 Al 2.68
Al (0.5000, 0.0000, 0.5000)  4 Os 2.57, 4 Mn 2.68
Os (0.0000, 0.5000, 0.5000)  4 Al 2.57, 4 Os 2.68
Os (0.5000, 0.5000, 0.0000)  4 Mn 2.57, 4 Os 2.68

Values from the calculation:
The density of states at the Fermi level comes out at 5.3 states/eV/cell. The value obtained for the total energy is -35.18 eV/f.u. The calculation puts the formation enthalpy at 0 K at 48 meV/atom. As for the space group: Pmmm, No. 47.



Record 2
The following is a PBE calculation of a relaxed structure of La7NdEr2, from Alexandria.

Unit cell a=9.2597 b=9.2597 c=5.8601 alpha=90.00 beta=90.00 gamma=121.10
With the nearest neighbours (Å) after each atom.
Atoms (fractional coordinates):
La (0.0000, 0.0000, 0.0000)  2 Er 3.29, 4 La 3.45
La (0.2011, 0.4341, 0.0000)  2 Er 3.22-3.34, 2 La 3.32-3.45
La (0.2616, 0.7384, 0.5000)  2 Er 3.08
La (0.4341, 0.2011, 0.0000)  2 Er 3.22-3.34, 2 La 3.32-3.45
La (0.5659, 0.7989, 0.0000)  2 Er 3.22-3.34, 2 La 3.32-3.45
La (0.7384, 0.2616, 0.5000)  2 Er 3.08
La (0.7989, 0.5659, 0.0000)  2 Er 3.22-3.34, 2 La 3.32-3.45
Nd (0.5000, 0.5000, 0.5000)  10 La 3.84-3.86
Er (0.2037, 0.7963, 0.0000)  7 La 3.08-3.34
Er (0.7963, 0.2037, 0.0000)  7 La 3.08-3.34

Values from the calculation:
The density of states at the Fermi level comes out at 17.4 states/eV/cell. The value obtained for the total energy is -42.45 eV/f.u. The calculation puts the formation enthalpy at 0 K at 593 meV/atom. As for the space group: Cmmm, No. 65.



Record 3
The following is a PBE calculation of a relaxed structure of Ho7Er12Pu, from Alexandria.

Unit cell a=10.1090 b=10.1090 c=10.1090 alpha=109.47 beta=109.47 gamma=109.47
With the nearest neighbours (Å) after each atom.
Atoms (fractional coordinates):
Ho (0.0000, 0.0000, 0.5000)  6 Er 3.13
Ho (0.0000, 0.5000, 0.0000)  6 Er 3.13
Ho (0.0000, 0.5000, 0.5000)  8 Er 3.38-3.47
Ho (0.5000, 0.0000, 0.0000)  6 Er 3.13
Ho (0.5000, 0.0000, 0.5000)  8 Er 3.38-3.47
Ho (0.5000, 0.5000, 0.0000)  8 Er 3.38-3.47
Ho (0.5000, 0.5000, 0.5000)  6 Er 3.13
Er (0.0920, 0.3466, 0.7454)  4 Ho 3.13-3.47
Er (0.2546, 0.6011, 0.3466)  4 Ho 3.13-3.47
Er (0.2546, 0.9080, 0.6534)  4 Ho 3.13-3.47
Er (0.3466, 0.2546, 0.6011)  4 Ho 3.13-3.47
Er (0.3466, 0.7454, 0.0920)  4 Ho 3.13-3.47
Er (0.3989, 0.6534, 0.7454)  4 Ho 3.13-3.47
Er (0.6011, 0.3466, 0.2546)  4 Ho 3.13-3.47
Er (0.6534, 0.2546, 0.9080)  4 Ho 3.13-3.47
Er (0.6534, 0.7454, 0.3989)  4 Ho 3.13-3.47
Er (0.7454, 0.0920, 0.3466)  4 Ho 3.13-3.47
Er (0.7454, 0.3989, 0.6534)  4 Ho 3.13-3.47
Er (0.9080, 0.6534, 0.2546)  4 Ho 3.13-3.47
Pu (0.0000, 0.0000, 0.0000)  12 Er 5.02, 8 Ho 5.05

Values from the calculation:
The density of states at the Fermi level comes out at 56.0 states/eV/cell. Its energy above the most stable polymorph in this dataset is 672 meV per atom. The value obtained for the total energy is -84.07 eV/f.u. The calculation puts the formation enthalpy at 0 K at 853 meV/atom. As for the space group: Im-3, No. 204.



Record 4
The following is a PBE calculation of a relaxed structure of La2BrCl, from Alexandria.

Unit cell a=4.9995 b=4.9995 c=6.4808 alpha=102.52 beta=102.52 gamma=43.93
With the nearest neighbours (Å) after each atom.
Atoms (fractional coordinates):
La (0.2468, 0.2468, 0.2431)  3 Cl 3.09-3.12, 3 Br 3.13-3.16
La (0.7532, 0.7532, 0.7569)  3 Cl 3.09-3.12, 3 Br 3.13-3.16
Br (0.0000, 0.0000, 0.5000)  6 La 3.13-3.16
Cl (0.5000, 0.5000, 0.0000)  6 La 3.09-3.12

Values from the calculation:
The density of states at the Fermi level comes out at 2.1 states/eV/cell. Its energy above the most stable polymorph in this dataset is 18 meV per atom. The value obtained for the total energy is -18.99 eV/f.u. As for the space group: C2/m, No. 12.



Please write out number 3 again, unchanged.
The following is a PBE calculation of a relaxed structure of Ho7Er12Pu, from Alexandria.

Unit cell a=10.1090 b=10.1090 c=10.1090 alpha=109.47 beta=109.47 gamma=109.47
With the nearest neighbours (Å) after each atom.
Atoms (fractional coordinates):
Ho (0.0000, 0.0000, 0.5000)  6 Er 3.13
Ho (0.0000, 0.5000, 0.0000)  6 Er 3.13
Ho (0.0000, 0.5000, 0.5000)  8 Er 3.38-3.47
Ho (0.5000, 0.0000, 0.0000)  6 Er 3.13
Ho (0.5000, 0.0000, 0.5000)  8 Er 3.38-3.47
Ho (0.5000, 0.5000, 0.0000)  8 Er 3.38-3.47
Ho (0.5000, 0.5000, 0.5000)  6 Er 3.13
Er (0.0920, 0.3466, 0.7454)  4 Ho 3.13-3.47
Er (0.2546, 0.6011, 0.3466)  4 Ho 3.13-3.47
Er (0.2546, 0.9080, 0.6534)  4 Ho 3.13-3.47
Er (0.3466, 0.2546, 0.6011)  4 Ho 3.13-3.47
Er (0.3466, 0.7454, 0.0920)  4 Ho 3.13-3.47
Er (0.3989, 0.6534, 0.7454)  4 Ho 3.13-3.47
Er (0.6011, 0.3466, 0.2546)  4 Ho 3.13-3.47
Er (0.6534, 0.2546, 0.9080)  4 Ho 3.13-3.47
Er (0.6534, 0.7454, 0.3989)  4 Ho 3.13-3.47
Er (0.7454, 0.0920, 0.3466)  4 Ho 3.13-3.47
Er (0.7454, 0.3989, 0.6534)  4 Ho 3.13-3.47
Er (0.9080, 0.6534, 0.2546)  4 Ho 3.13-3.47
Pu (0.0000, 0.0000, 0.0000)  12 Er 5.02, 8 Ho 5.05

Values from the calculation:
The density of states at the Fermi level comes out at 56.0 states/eV/cell. Its energy above the most stable polymorph in this dataset is 672 meV per atom. The value obtained for the total energy is -84.07 eV/f.u. The calculation puts the formation enthalpy at 0 K at 853 meV/atom. As for the space group: Im-3, No. 204.